1.
The following is a GGA-PBE calculation of a geometry-optimized BeGa2Cu12 structure, from Alexandria.

Output
spin magnetization: 0.0 μB/f.u.
formation energy: 0.174 eV per atom

```
data_BeGa2Cu12
_cell_length_a 4.861
_cell_length_b 4.861
_cell_length_c 17.027
_cell_angle_alpha 90.00
_cell_angle_beta 90.00
_cell_angle_gamma 90.00
_space_group_name_H-M_alt 'P 1'
_space_group_IT_number 1
loop_
_space_group_symop_operation_xyz
'x,y,z'
loop_
_atom_site_label
_atom_site_type_symbol
_atom_site_fract_x
_atom_site_fract_y
_atom_site_fract_z
_atom_site_occupancy
Be1 Be 0.250 0.750 0.000 1
Be2 Be 0.750 0.250 0.000 1
Ga1 Ga 0.250 0.750 0.267 1
Ga2 Ga 0.250 0.750 0.733 1
Ga3 Ga 0.750 0.250 0.267 1
Ga4 Ga 0.750 0.250 0.733 1
Cu1 Cu 0.000 0.000 0.085 1
Cu2 Cu 0.000 0.000 0.915 1
Cu3 Cu 0.000 0.500 0.085 1
Cu4 Cu 0.000 0.500 0.915 1
Cu5 Cu 0.075 0.575 0.436 1
Cu6 Cu 0.075 0.925 0.564 1
Cu7 Cu 0.250 0.250 0.193 1
Cu8 Cu 0.250 0.250 0.334 1
Cu9 Cu 0.250 0.250 0.666 1
Cu10 Cu 0.250 0.250 0.807 1
Cu11 Cu 0.425 0.575 0.564 1
Cu12 Cu 0.425 0.925 0.436 1
Cu13 Cu 0.500 0.000 0.085 1
Cu14 Cu 0.500 0.000 0.915 1
Cu15 Cu 0.500 0.500 0.085 1
Cu16 Cu 0.500 0.500 0.915 1
Cu17 Cu 0.575 0.075 0.564 1
Cu18 Cu 0.575 0.425 0.436 1
Cu19 Cu 0.750 0.750 0.193 1
Cu20 Cu 0.750 0.750 0.334 1
Cu21 Cu 0.750 0.750 0.666 1
Cu22 Cu 0.750 0.750 0.807 1
Cu23 Cu 0.925 0.075 0.436 1
Cu24 Cu 0.925 0.425 0.564 1
```


2.
The following is a GGA-PBE calculation of a geometry-optimized Cs3H4O structure, from Alexandria.

Output
spin magnetization: 0.4 μB/f.u.

```
data_Cs3H4O
_cell_length_a 14.641
_cell_length_b 4.421
_cell_length_c 8.274
_cell_angle_alpha 90.00
_cell_angle_beta 114.99
_cell_angle_gamma 90.00
_space_group_name_H-M_alt 'P 1'
_space_group_IT_number 1
loop_
_space_group_symop_operation_xyz
'x,y,z'
loop_
_atom_site_label
_atom_site_type_symbol
_atom_site_fract_x
_atom_site_fract_y
_atom_site_fract_z
_atom_site_occupancy
Cs1 Cs 0.000 0.000 0.000 1
Cs2 Cs 0.163 0.000 0.635 1
Cs3 Cs 0.337 0.500 0.365 1
Cs4 Cs 0.500 0.500 0.000 1
Cs5 Cs 0.663 0.500 0.635 1
Cs6 Cs 0.837 0.000 0.365 1
H1 H 0.039 0.500 0.408 1
H2 H 0.087 0.500 0.326 1
H3 H 0.413 0.000 0.674 1
H4 H 0.461 0.000 0.592 1
H5 H 0.539 0.000 0.408 1
H6 H 0.587 0.000 0.326 1
H7 H 0.913 0.500 0.674 1
H8 H 0.961 0.500 0.592 1
O1 O 0.000 0.500 0.500 1
O2 O 0.500 0.000 0.500 1
```


3.
The following is a GGA-PBE calculation of a geometry-optimized Na3SrRe structure, from Alexandria.

Output
spin magnetization: 3.0 μB/f.u.
E above lowest polymorph: 0.000 eV per atom
formation energy: 1.242 eV per atom

```
data_Na3SrRe
_cell_length_a 5.743
_cell_length_b 5.743
_cell_length_c 5.743
_cell_angle_alpha 90.00
_cell_angle_beta 90.00
_cell_angle_gamma 90.00
_space_group_name_H-M_alt 'P 1'
_space_group_IT_number 1
loop_
_space_group_symop_operation_xyz
'x,y,z'
loop_
_atom_site_label
_atom_site_type_symbol
_atom_site_fract_x
_atom_site_fract_y
_atom_site_fract_z
_atom_site_occupancy
Na1 Na 0.000 0.000 0.500 1
Na2 Na 0.000 0.500 0.000 1
Na3 Na 0.500 0.000 0.000 1
Sr1 Sr 0.500 0.500 0.500 1
Re1 Re 0.000 0.000 0.000 1
```


4.
The following is a GGA-PBE calculation of a geometry-optimized MgCrBr2 structure, from Alexandria.

Output
raw formation energy: -0.053 eV per atom
spin magnetization: 4.4 μB/f.u.
E above lowest polymorph: 0.369 eV per atom

```
data_MgCrBr2
_cell_length_a 7.159
_cell_length_b 7.159
_cell_length_c 7.159
_cell_angle_alpha 90.00
_cell_angle_beta 90.00
_cell_angle_gamma 90.00
_space_group_name_H-M_alt 'P 1'
_space_group_IT_number 1
loop_
_space_group_symop_operation_xyz
'x,y,z'
loop_
_atom_site_label
_atom_site_type_symbol
_atom_site_fract_x
_atom_site_fract_y
_atom_site_fract_z
_atom_site_occupancy
Mg1 Mg 0.000 0.000 0.000 1
Mg2 Mg 0.000 0.500 0.500 1
Mg3 Mg 0.500 0.000 0.500 1
Mg4 Mg 0.500 0.500 0.000 1
Cr1 Cr 0.000 0.000 0.500 1
Cr2 Cr 0.000 0.500 0.000 1
Cr3 Cr 0.500 0.000 0.000 1
Cr4 Cr 0.500 0.500 0.500 1
Br1 Br 0.250 0.250 0.250 1
Br2 Br 0.250 0.250 0.750 1
Br3 Br 0.250 0.750 0.250 1
Br4 Br 0.250 0.750 0.750 1
Br5 Br 0.750 0.250 0.250 1
Br6 Br 0.750 0.250 0.750 1
Br7 Br 0.750 0.750 0.250 1
Br8 Br 0.750 0.750 0.750 1
```


5.
The following is a GGA-PBE calculation of a geometry-optimized CaBiAs2P structure, from Alexandria.

Output
spin magnetization: 0.0 μB/f.u.
formation energy: 0.117 eV per atom

```
data_CaBiAs2P
_cell_length_a 4.882
_cell_length_b 4.882
_cell_length_c 5.471
_cell_angle_alpha 90.00
_cell_angle_beta 90.00
_cell_angle_gamma 90.00
_space_group_name_H-M_alt 'P 1'
_space_group_IT_number 1
loop_
_space_group_symop_operation_xyz
'x,y,z'
loop_
_atom_site_label
_atom_site_type_symbol
_atom_site_fract_x
_atom_site_fract_y
_atom_site_fract_z
_atom_site_occupancy
Ca1 Ca 0.000 0.000 0.000 1
Bi1 Bi 0.500 0.500 0.000 1
As1 As 0.000 0.500 0.500 1
As2 As 0.500 0.000 0.500 1
P1 P 0.500 0.500 0.500 1
```


6.
The following is a GGA-PBE calculation of a geometry-optimized NaNb3B structure, from Alexandria.

Output
spin magnetization: 0.0 μB/f.u.
E above lowest polymorph: 0.000 eV per atom
formation energy: 0.485 eV per atom

```
data_NaNb3B
_cell_length_a 4.471
_cell_length_b 4.471
_cell_length_c 4.471
_cell_angle_alpha 90.00
_cell_angle_beta 90.00
_cell_angle_gamma 90.00
_space_group_name_H-M_alt 'P 1'
_space_group_IT_number 1
loop_
_space_group_symop_operation_xyz
'x,y,z'
loop_
_atom_site_label
_atom_site_type_symbol
_atom_site_fract_x
_atom_site_fract_y
_atom_site_fract_z
_atom_site_occupancy
Na1 Na 0.000 0.000 0.000 1
Nb1 Nb 0.000 0.500 0.500 1
Nb2 Nb 0.500 0.000 0.500 1
Nb3 Nb 0.500 0.500 0.000 1
B1 B 0.500 0.500 0.500 1
```


7.
The following is a GGA-PBE calculation of a geometry-optimized BeBiHPbN structure, from Alexandria.

Output
spin magnetization: 0.0 μB/f.u.
E above lowest polymorph: 0.198 eV per atom

```
data_BeBiHPbN
_cell_length_a 9.427
_cell_length_b 3.118
_cell_length_c 6.988
_cell_angle_alpha 90.00
_cell_angle_beta 113.98
_cell_angle_gamma 90.00
_space_group_name_H-M_alt 'P 1'
_space_group_IT_number 1
loop_
_space_group_symop_operation_xyz
'x,y,z'
loop_
_atom_site_label
_atom_site_type_symbol
_atom_site_fract_x
_atom_site_fract_y
_atom_site_fract_z
_atom_site_occupancy
Be1 Be 0.000 0.000 0.000 1
Be2 Be 0.500 0.500 0.000 1
Bi1 Bi 0.371 0.000 0.290 1
Bi2 Bi 0.871 0.500 0.290 1
H1 H 0.085 0.000 0.850 1
H2 H 0.585 0.500 0.850 1
Pb1 Pb 0.204 0.000 0.671 1
Pb2 Pb 0.704 0.500 0.671 1
N1 N 0.457 0.000 0.034 1
N2 N 0.957 0.500 0.034 1
```


8.
The following is a GGA-PBE calculation of a geometry-optimized UTaSi structure, from Alexandria.

Output
raw formation energy: 0.069 eV per atom
spin magnetization: 0.0 μB/f.u.

```
data_UTaSi
_cell_length_a 4.479
_cell_length_b 6.002
_cell_length_c 8.342
_cell_angle_alpha 90.00
_cell_angle_beta 90.00
_cell_angle_gamma 90.00
_space_group_name_H-M_alt 'P 1'
_space_group_IT_number 1
loop_
_space_group_symop_operation_xyz
'x,y,z'
loop_
_atom_site_label
_atom_site_type_symbol
_atom_site_fract_x
_atom_site_fract_y
_atom_site_fract_z
_atom_site_occupancy
U1 U 0.000 0.000 0.151 1
U2 U 0.000 0.000 0.849 1
U3 U 0.500 0.500 0.349 1
U4 U 0.500 0.500 0.651 1
Ta1 Ta 0.000 0.231 0.500 1
Ta2 Ta 0.000 0.769 0.500 1
Ta3 Ta 0.500 0.269 0.000 1
Ta4 Ta 0.500 0.731 0.000 1
Si1 Si 0.000 0.500 0.145 1
Si2 Si 0.000 0.500 0.855 1
Si3 Si 0.500 0.000 0.355 1
Si4 Si 0.500 0.000 0.645 1
```


Which DFT total energy belongs to each record? In order, -112.64 -48.30 -11.88 -59.10 -20.01 -35.78 -45.04 -113.42 eV for the cell shown.